Entry from the Alexandria database: a relaxed structure of CaTi2Al (PBE-GGA).

Unit cell a=4.469 b=4.469 c=10.661 alpha=77.90 beta=77.90 gamma=90.00
Element x y z (fractional)
Ca 0.000 0.000 0.000
Ca 0.750 0.250 0.500
Al 0.500 0.500 0.000
Al 0.250 0.750 0.500
Ti 0.408 0.125 0.250
Ti 0.342 0.625 0.250
Ti 0.375 0.592 0.750
Ti 0.875 0.658 0.750

Output
Energy ... -4.7987 eV/atom
M_tot ... 0.0 μB per cell
Volume ... 101.7 Å³/f.u.
Formation enthalpy at 0 K ... 584.8 meV/atom
SG ... I-42d (122)